First-principles (meta-GGA SCAN) data for KAsO3 at its PBEsol-relaxed geometry, as listed in Alexandria via LeMat-Bulk.

Calculated values
The density of states at the Fermi level is 0.00 states/eV per cell. The uncorrected formation energy is -38.38 kcal/mol of atoms. The total energy is -444.3 eV per cell. The symmetry is P2_1/c (14).

```
KAsO3
1.0
10.460 0.000 0.000
0.000 4.740 0.000
-2.866 0.000 14.438
K As O
8 8 24
Direct
0.067 0.225 0.179
0.067 0.275 0.679
0.393 0.731 0.634
0.393 0.769 0.134
0.607 0.231 0.866
0.607 0.269 0.366
0.933 0.725 0.321
0.933 0.775 0.821
0.210 0.202 0.450
0.210 0.298 0.950
0.315 0.699 0.347
0.315 0.801 0.847
0.685 0.199 0.153
0.685 0.301 0.653
0.790 0.702 0.050
0.790 0.798 0.550
0.066 0.231 0.380
0.066 0.269 0.880
0.190 0.725 0.257
0.190 0.775 0.757
0.235 0.221 0.062
0.235 0.279 0.562
0.272 0.652 0.949
0.272 0.848 0.449
0.334 0.151 0.894
0.334 0.349 0.394
0.464 0.719 0.831
0.464 0.781 0.331
0.536 0.219 0.669
0.536 0.281 0.169
0.666 0.651 0.606
0.666 0.849 0.106
0.728 0.152 0.551
0.728 0.348 0.051
0.765 0.721 0.438
0.765 0.779 0.938
0.810 0.225 0.243
0.810 0.275 0.743
0.934 0.731 0.120
0.934 0.769 0.620
```